Record 1
The following is a PBE-GGA calculation of crystalline LaCe2Zn at its relaxed geometry, from the Alexandria database.

The density of states at the Fermi level comes out at 11.25 states/eV/f.u. The value obtained for the magnetic moment is 1.268 μB per cell. The calculation puts the distance to the lowest polymorph of the same formula at 0 meV/atom.

It has space group P4/mmm (No. 123), with a = 3.695 Å, b = 3.695 Å, c = 8.200 Å, α = 90.00°, β = 90.00° and γ = 90.00°. The inequivalent atoms are La at (0.000, 0.000, 0.000), Ce at (0.500, 0.500, 0.299) and Zn at (0.000, 0.000, 0.500).

=====

Record 2
The following is a PBE-GGA calculation of crystalline TiCoSb at its relaxed geometry, from the Alexandria database.

The density of states at the Fermi level comes out at 0.59 states/eV/f.u. The value obtained for the magnetic moment is 0.001 μB per cell. The energy relative to the elements, uncorrected comes out at -0.404 eV per atom.

It has space group P4/nmm (No. 129, origin choice 2), with a = 3.969 Å, b = 3.969 Å, c = 6.289 Å, α = 90.00°, β = 90.00° and γ = 90.00°. The inequivalent atoms are Ti at (0.250, 0.250, 0.209), Co at (0.250, 0.750, 0.500) and Sb at (0.250, 0.250, 0.765).

=====

Record 3
The following is a PBE-GGA calculation of crystalline NaRuO2 at its relaxed geometry, from the Alexandria database.

The density of states at the Fermi level comes out at 2.44 states/eV/f.u. The value obtained for the magnetic moment is 0.000 μB per cell. The energy relative to the elements, uncorrected comes out at -0.541 eV per atom.

It has space group P4/mmm (No. 123), with a = 2.734 Å, b = 2.734 Å, c = 5.694 Å, α = 90.00°, β = 90.00° and γ = 90.00°. The inequivalent atoms are Na at (0.000, 0.000, 0.000), Ru at (0.000, 0.000, 0.500) and O at (0.500, 0.500, 0.292).

=====

Record 4
The following is a PBE-GGA calculation of crystalline ThVC2 at its relaxed geometry, from the Alexandria database.

The density of states at the Fermi level comes out at 1.95 states/eV/f.u. The value obtained for the magnetic moment is 0.001 μB per cell. For the total energy, the calculation gives -9.0716 eV/atom.

It has space group Pnma (No. 62), with a = 5.769 Å, b = 3.578 Å, c = 10.650 Å, α = 90.00°, β = 90.00° and γ = 90.00°. The inequivalent atoms are Th at (0.088, 0.250, 0.142), V at (0.077, 0.750, 0.400), C at (0.148, 0.250, 0.744) and C at (0.195, 0.250, 0.469).

=====

Record 5
The following is a PBE-GGA calculation of crystalline Dy4Y8Th3 at its relaxed geometry, from the Alexandria database.

The density of states at the Fermi level comes out at 30.42 states/eV/f.u. The value obtained for the magnetic moment is 0.003 μB per cell. For the total energy, the calculation gives -5.7157 eV/atom.

It has space group C2/m (No. 12), with a = 13.474 Å, b = 12.813 Å, c = 6.662 Å, α = 90.00°, β = 118.95° and γ = 90.00°. The inequivalent atoms are Dy at (0.000, 0.000, 0.000), Dy at (0.000, 0.000, 0.500), Dy at (0.250, 0.250, 0.000), Y at (0.000, 0.248, 0.000), Y at (0.000, 0.354, 0.500), Y at (0.228, 0.500, 0.534), Y at (0.248, 0.000, 0.957), Th at (0.000, 0.500, 0.000) and Th at (0.250, 0.250, 0.500).

=====

Record 6
The following is a PBE-GGA calculation of crystalline Rb3Mg2InBr9 at its relaxed geometry, from the Alexandria database.

The density of states at the Fermi level comes out at 2.69 states/eV/f.u. The value obtained for the magnetic moment is 0.000 μB per cell. The energy relative to the elements, uncorrected comes out at -1.401 eV per atom.

It has space group P-3m1 (No. 164), with a = 7.7934 Å, b = 7.7934 Å, c = 9.5670 Å, α = 90.00°, β = 90.00° and γ = 120.00°. The inequivalent atoms are Rb at (0.0000, 0.0000, 0.0000), Rb at (0.3333, 0.6667, 0.6667), Mg at (0.3333, 0.6667, 0.1565), In at (0.0000, 0.0000, 0.5000), Br at (0.0000, 0.5000, 0.0000) and Br at (0.1733, 0.3467, 0.3267).

=====

Record 7
The following is a PBE-GGA calculation of crystalline ZrTiGaNi at its relaxed geometry, from the Alexandria database.

The density of states at the Fermi level comes out at 3.68 states/eV/f.u. The value obtained for the magnetic moment is 5.496 μB per cell. For the total energy, the calculation gives -6.6516 eV/atom.

It has space group F-43m (No. 216), with a = 6.416 Å, b = 6.416 Å, c = 6.416 Å, α = 90.00°, β = 90.00° and γ = 90.00°. The inequivalent atoms are Zr at (0.000, 0.000, 0.000), Ti at (0.000, 0.000, 0.500), Ga at (0.250, 0.250, 0.250) and Ni at (0.250, 0.250, 0.750).

=====

Record 8
The following is a PBE-GGA calculation of crystalline LiNi2Pd2 at its relaxed geometry, from the Alexandria database.

The density of states at the Fermi level comes out at 6.53 states/eV/f.u. The value obtained for the magnetic moment is 3.320 μB per cell. The calculation puts the distance to the lowest polymorph of the same formula at 143 meV/atom.

It has space group I4/mmm (No. 139), with a = 3.308 Å, b = 3.308 Å, c = 13.225 Å, α = 90.00°, β = 90.00° and γ = 90.00°. The inequivalent atoms are Li at (0.000, 0.000, 0.000), Ni at (0.000, 0.500, 0.250) and Pd at (0.000, 0.000, 0.399).

=====

Record 9
The following is a PBE-GGA calculation of crystalline V2NiPd6 at its relaxed geometry, from the Alexandria database.

The density of states at the Fermi level comes out at 8.18 states/eV/f.u. The value obtained for the magnetic moment is 9.213 μB per cell. For the total energy, the calculation gives -6.3546 eV/atom.

It has space group Fmmm (No. 69), with a = 3.924 Å, b = 11.329 Å, c = 11.732 Å, α = 90.00°, β = 90.00° and γ = 90.00°. The inequivalent atoms are V at (0.000, 0.000, 0.157), Ni at (0.000, 0.000, 0.500), Pd at (0.000, 0.154, 0.332) and Pd at (0.000, 0.160, 0.000).

=====

Record 10
The following is a PBE-GGA calculation of crystalline Rb2H5Au at its relaxed geometry, from the Alexandria database.

The density of states at the Fermi level comes out at 0.00 states/eV/f.u. The value obtained for the magnetic moment is 0.000 μB per cell. For the total energy, the calculation gives -2.9022 eV/atom.

It has space group I4mm (No. 107), with a = 5.923 Å, b = 5.923 Å, c = 8.893 Å, α = 90.00°, β = 90.00° and γ = 90.00°. The inequivalent atoms are Rb at (0.000, 0.500, 0.000), H at (0.000, 0.000, 0.021), H at (0.197, 0.197, 0.257) and Au at (0.000, 0.000, 0.239).

=====

Record 11
The following is a PBE-GGA calculation of crystalline KCrOs2 at its relaxed geometry, from the Alexandria database.

The density of states at the Fermi level comes out at 4.35 states/eV/f.u. The value obtained for the magnetic moment is 4.063 μB per cell. The calculation puts the distance to the lowest polymorph of the same formula at 933 meV/atom.

It has space group P4/mmm (No. 123), with a = 3.797 Å, b = 3.797 Å, c = 4.873 Å, α = 90.00°, β = 90.00° and γ = 90.00°. The inequivalent atoms are K at (0.000, 0.000, 0.000), Cr at (0.500, 0.500, 0.000) and Os at (0.000, 0.500, 0.500).

=====

Record 12
The following is a PBE-GGA calculation of crystalline LiAc2AlSn6 at its relaxed geometry, from the Alexandria database.

The density of states at the Fermi level comes out at 5.32 states/eV/f.u. The value obtained for the magnetic moment is 0.000 μB per cell. For the total energy, the calculation gives -4.0990 eV/atom.

It has space group Pmmn (No. 59, origin choice 2), with a = 7.783 Å, b = 10.024 Å, c = 7.272 Å, α = 90.00°, β = 90.00° and γ = 90.00°. The inequivalent atoms are Li at (0.250, 0.250, 0.097), Ac at (0.250, 0.004, 0.735), Al at (0.250, 0.750, 0.399), Sn at (0.053, 0.750, 0.047), Sn at (0.054, 0.250, 0.421) and Sn at (0.250, 0.502, 0.229).